# PBE CaSm2AuO5, optimized geometry
data_CaSm2AuO5
_chemical_formula_sum 'Ca2 Sm4 Au2 O10'
_cell_length_a 6.642
_cell_length_b 6.642
_cell_length_c 6.102
_cell_angle_alpha 90.00
_cell_angle_beta 90.00
_cell_angle_gamma 90.00
_symmetry_space_group_name_H-M 'P 4/m b m'
_symmetry_Int_Tables_number 127
_symmetry_space_group_name_Hall '-P 4 2ab'
loop_
_atom_site_label
_atom_site_type_symbol
_atom_site_fract_x
_atom_site_fract_y
_atom_site_fract_z
_atom_site_occupancy
Ca1 Ca 0.000 0.000 0.000 1
Sm1 Sm 0.171 0.329 0.500 1
Au1 Au 0.000 0.500 0.000 1
O1 O 0.000 0.000 0.500 1
O2 O 0.151 0.651 0.256 1
# - volume (Å³ per atom) = 15.0
# - calculated total energy (eV per atom) = -6.701
# - formation energy (no corrections) (kJ per mole of atoms) = -223
# - theoretical density (Mg/m³) = 7.62